Entry from the Alexandria database: an optimized crystal structure of Ta2Nb3Ga4 (PBE).

Cell and atoms, written as POSCAR:
```
Ta2Nb3Ga4
1.0
6.267 -4.810 0.000
6.267 4.810 0.000
-0.028 0.000 5.158
Ta Nb Ga
4 6 8
Direct
0.096 0.344 0.349 Ta
0.344 0.096 0.849 Ta
0.656 0.904 0.151 Ta
0.904 0.656 0.651 Ta
0.095 0.905 0.750 Nb
0.246 0.474 0.907 Nb
0.474 0.246 0.407 Nb
0.526 0.754 0.593 Nb
0.754 0.526 0.093 Nb
0.905 0.095 0.250 Nb
0.003 0.275 0.841 Ga
0.269 0.596 0.438 Ga
0.275 0.003 0.341 Ga
0.404 0.731 0.062 Ga
0.596 0.269 0.938 Ga
0.725 0.997 0.659 Ga
0.731 0.404 0.562 Ga
0.997 0.725 0.159 Ga
```

## Properties
- ΔE_f: -0.182 eV per atom
- Size of the total moment: 0.00 μB per formula unit
- DFT total energy: -135.313 eV for the cell shown

Entry from the Alexandria database: an optimized crystal structure of TaNb2Ga (PBE).

Cell and atoms, written as POSCAR:
```
TaNb2Ga
1.0
-3.731 3.731 2.706
3.731 -3.731 2.706
3.731 3.731 -2.706
Ta Nb Ga
2 4 2
Direct
0.000 0.000 0.000 Ta
0.750 0.250 0.500 Ta
0.145 0.125 0.520 Nb
0.375 0.855 0.980 Nb
0.605 0.625 0.480 Nb
0.875 0.395 0.020 Nb
0.250 0.750 0.500 Ga
0.500 0.500 0.000 Ga
```

## Properties
- ΔE_f: 0.460 eV per atom
- Size of the total moment: 0.00 μB per formula unit
- DFT total energy: -66.356 eV for the cell shown

Entry from the Alexandria database: an optimized crystal structure of TaNbGa2 (PBE).

Cell and atoms, written as POSCAR:
```
TaNbGa2
1.0
-3.568 3.568 2.808
3.568 -3.568 2.808
3.568 3.568 -2.808
Ta Nb Ga
2 2 4
Direct
0.000 0.000 0.000 Ta
0.750 0.250 0.500 Ta
0.250 0.750 0.500 Nb
0.500 0.500 0.000 Nb
0.125 0.625 0.000 Ga
0.375 0.375 0.500 Ga
0.625 0.125 0.000 Ga
0.875 0.875 0.500 Ga
```

## Properties
- ΔE_f: 0.106 eV per atom
- Size of the total moment: 0.00 μB per formula unit
- DFT total energy: -55.101 eV for the cell shown